Density functional theory data (PBE) for an optimized crystal structure of LiSmSi2Pt5.

Cell lengths 4.1201, 4.1201, 9.1452 Å; angles 90.00, 90.00, 90.00 degrees
Element x y z (fractional)
Pt 0.0000 0.5000 0.7402
Si 0.5000 0.5000 0.8725
Pt 0.0000 0.5000 0.2598
Li 0.0000 0.0000 0.0000
Sm 0.0000 0.0000 0.5000
Pt 0.5000 0.0000 0.2598
Pt 0.5000 0.0000 0.7402
Pt 0.5000 0.5000 0.5000
Si 0.5000 0.5000 0.1275

Summary:
- VASP energy: -6.155 eV per atom
- SG: P4/mmm, No. 123

Density functional theory data (PBE) for an optimized crystal structure of CuAu2Br.

Cell lengths 10.3565, 10.3565, 10.3565 Å; angles 16.53, 16.53, 16.53 degrees
Element x y z (fractional)
Au 0.0170 0.0170 0.0170
Au 0.4830 0.4830 0.4830
Br 0.2500 0.2500 0.2500
Cu 0.7500 0.7500 0.7500

Summary:
- VASP energy: -2.845 eV per atom
- SG: R-3m, No. 166
- Offset from the most stable computed form: 0.72 eV/f.u.

Density functional theory data (PBE) for an optimized crystal structure of Tl2AsPt.

Cell lengths 3.3915, 3.4317, 8.5386 Å; angles 90.00, 90.00, 90.00 degrees
Element x y z (fractional)
Pt 0.5000 0.5000 0.6806
Tl 0.0000 0.0000 0.9499
Tl 0.5000 0.5000 0.2942
As 0.0000 0.0000 0.5753

Summary:
- VASP energy: -3.931 eV per atom
- SG: Pmm2, No. 25
- Energy of formation: -0.08 eV/atom
- Offset from the most stable computed form: 0.43 eV/f.u.

Density functional theory data (PBE) for an optimized crystal structure of K6RbNa2H.

Cell lengths 7.4007, 11.2040, 7.6783 Å; angles 114.49, 96.09, 102.43 degrees
Element x y z (fractional)
K 0.6724 0.7575 0.6585
K 0.1484 0.7970 0.0400
K 0.7640 0.9956 0.2807
H 0.0002 0.0007 0.0002
Na 0.9081 0.4088 0.6262
Na 0.0920 0.5916 0.3740
K 0.3274 0.2432 0.3403
K 0.8511 0.2039 0.9599
K 0.2356 0.0053 0.7189
Rb 0.4997 0.5004 0.9992

Summary:
- VASP energy: -1.342 eV per atom
- SG: P1, No. 1